## AlReAs3 (GGA-PBE)

Data for an optimized crystal structure of AlReAs3.

Calculated values
- Excess energy over the best structure of this formula in the dataset: 691 meV/atom
- Formation energy from the elements: 1363 meV/atom

Geometry as CIF:
```
data_AlReAs3
_chemical_formula_sum 'Al1 Re1 As3'
_space_group_name_H-M_alt 'P m -3 m'
_space_group_IT_number 221
_space_group_name_Hall '-P 4 2 3'
_cell_length_a 4.734
_cell_length_b 4.734
_cell_length_c 4.734
_cell_angle_alpha 90.00
_cell_angle_beta 90.00
_cell_angle_gamma 90.00
loop_
_atom_site_label
_atom_site_type_symbol
_atom_site_fract_x
_atom_site_fract_y
_atom_site_fract_z
Al1 Al 0.000 0.000 0.000
Re1 Re 0.500 0.500 0.500
As1 As 0.000 0.000 0.500
```


## BeAlH (GGA-PBE)

Data for an optimized crystal structure of BeAlH.

Calculated values
- Excess energy over the best structure of this formula in the dataset: 47 meV/atom

Geometry as CIF:
```
data_BeAlH
_chemical_formula_sum 'Be2 Al2 H2'
_space_group_name_H-M_alt 'P 1'
_space_group_IT_number 1
_space_group_name_Hall 'P 1'
_cell_length_a 3.991
_cell_length_b 4.002
_cell_length_c 4.907
_cell_angle_alpha 90.78
_cell_angle_beta 90.71
_cell_angle_gamma 118.99
loop_
_atom_site_label
_atom_site_type_symbol
_atom_site_fract_x
_atom_site_fract_y
_atom_site_fract_z
Be1 Be 0.000 0.000 0.000
Be2 Be 0.347 0.652 0.002
Al1 Al 0.457 0.103 0.662
Al2 Al 0.694 0.347 0.188
H1 H 0.324 0.622 0.702
H2 H 0.975 0.980 0.700
```


## SmPuInIr (GGA-PBE)

Data for an optimized crystal structure of SmPuInIr.

Calculated values
- Formation energy from the elements: -278 meV/atom

Geometry as CIF:
```
data_SmPuInIr
_chemical_formula_sum 'Sm4 Pu4 In4 Ir4'
_space_group_name_H-M_alt 'F -4 3 m'
_space_group_IT_number 216
_space_group_name_Hall 'F -4 2 3'
_cell_length_a 7.256
_cell_length_b 7.256
_cell_length_c 7.256
_cell_angle_alpha 90.00
_cell_angle_beta 90.00
_cell_angle_gamma 90.00
loop_
_atom_site_label
_atom_site_type_symbol
_atom_site_fract_x
_atom_site_fract_y
_atom_site_fract_z
Sm1 Sm 0.000 0.000 0.000
Pu1 Pu 0.000 0.000 0.500
In1 In 0.250 0.250 0.250
Ir1 Ir 0.250 0.250 0.750
```


## CrCdIr2 (GGA-PBE)

Data for an optimized crystal structure of CrCdIr2.

Calculated values
- Formation energy from the elements: 65 meV/atom

Geometry as CIF:
```
data_CrCdIr2
_chemical_formula_sum 'Cr1 Cd1 Ir2'
_space_group_name_H-M_alt 'P m m m'
_space_group_IT_number 47
_space_group_name_Hall '-P 2 2'
_cell_length_a 2.852
_cell_length_b 3.441
_cell_length_c 6.308
_cell_angle_alpha 90.00
_cell_angle_beta 90.00
_cell_angle_gamma 90.00
loop_
_atom_site_label
_atom_site_type_symbol
_atom_site_fract_x
_atom_site_fract_y
_atom_site_fract_z
Cr1 Cr 0.000 0.000 0.000
Cd1 Cd 0.000 0.000 0.500
Ir1 Ir 0.500 0.500 0.214
```


## Si2Mo2As (GGA-PBE)

Data for an optimized crystal structure of Si2Mo2As.

Calculated values
- Formation energy (no corrections): -91.5 meV per atom

Geometry as CIF:
```
data_Si2Mo2As
_chemical_formula_sum 'Si4 Mo4 As2'
_space_group_name_H-M_alt 'P 4/m b m'
_space_group_IT_number 127
_space_group_name_Hall '-P 4 2ab'
_cell_length_a 6.813
_cell_length_b 6.813
_cell_length_c 3.327
_cell_angle_alpha 90.00
_cell_angle_beta 90.00
_cell_angle_gamma 90.00
loop_
_atom_site_label
_atom_site_type_symbol
_atom_site_fract_x
_atom_site_fract_y
_atom_site_fract_z
Si1 Si 0.132 0.368 0.000
Mo1 Mo 0.162 0.662 0.500
As1 As 0.000 0.000 0.500
```


## BaCrBr (GGA-PBE)

Data for an optimized crystal structure of BaCrBr.

Calculated values
- Formation energy (no corrections): -119.4 meV per atom
- Excess energy over the best structure of this formula in the dataset: 0 meV/atom

Geometry as CIF:
```
data_BaCrBr
_chemical_formula_sum 'Ba2 Cr2 Br2'
_space_group_name_H-M_alt 'I 4 m m'
_space_group_IT_number 107
_space_group_name_Hall 'I 4 -2'
_cell_length_a 4.052
_cell_length_b 4.052
_cell_length_c 13.255
_cell_angle_alpha 90.00
_cell_angle_beta 90.00
_cell_angle_gamma 90.00
loop_
_atom_site_label
_atom_site_type_symbol
_atom_site_fract_x
_atom_site_fract_y
_atom_site_fract_z
Ba1 Ba 0.000 0.000 0.000
Cr1 Cr 0.000 0.000 0.675
Br1 Br 0.000 0.000 0.365
```


## TaNb5S2 (GGA-PBE)

Data for an optimized crystal structure of TaNb5S2.

Calculated values
- Formation energy (no corrections): -507.1 meV per atom

Geometry as CIF:
```
data_TaNb5S2
_chemical_formula_sum 'Ta2 Nb10 S4'
_space_group_name_H-M_alt 'I m m m'
_space_group_IT_number 71
_space_group_name_Hall '-I 2 2'
_cell_length_a 3.321
_cell_length_b 6.649
_cell_length_c 12.466
_cell_angle_alpha 90.00
_cell_angle_beta 90.00
_cell_angle_gamma 90.00
loop_
_atom_site_label
_atom_site_type_symbol
_atom_site_fract_x
_atom_site_fract_y
_atom_site_fract_z
Ta1 Ta 0.000 0.000 0.000
Nb1 Nb 0.000 0.256 0.363
Nb2 Nb 0.000 0.500 0.000
S1 S 0.000 0.500 0.210
```


## Cs2KLiSb (GGA-PBE)

Data for an optimized crystal structure of Cs2KLiSb.

Calculated values
- Formation energy (no corrections): -215.5 meV per atom
- Excess energy over the best structure of this formula in the dataset: 0 meV/atom

Geometry as CIF:
```
data_Cs2KLiSb
_chemical_formula_sum 'Cs2 K1 Li1 Sb1'
_space_group_name_H-M_alt 'P 4/m m m'
_space_group_IT_number 123
_space_group_name_Hall '-P 4 2'
_cell_length_a 7.058
_cell_length_b 7.058
_cell_length_c 5.186
_cell_angle_alpha 90.00
_cell_angle_beta 90.00
_cell_angle_gamma 90.00
loop_
_atom_site_label
_atom_site_type_symbol
_atom_site_fract_x
_atom_site_fract_y
_atom_site_fract_z
Cs1 Cs 0.000 0.500 0.000
K1 K 0.000 0.000 0.500
Li1 Li 0.500 0.500 0.000
Sb1 Sb 0.500 0.500 0.500
```


## Sm2HS (GGA-PBE)

Data for an optimized crystal structure of Sm2HS.

Calculated values
- Excess energy over the best structure of this formula in the dataset: 132 meV/atom

Geometry as CIF:
```
data_Sm2HS
_chemical_formula_sum 'Sm6 H3 S3'
_space_group_name_H-M_alt 'R 3 m'
_space_group_IT_number 160
_space_group_name_Hall 'R 3 -2"'
_cell_length_a 3.7733
_cell_length_b 3.7733
_cell_length_c 20.1189
_cell_angle_alpha 90.00
_cell_angle_beta 90.00
_cell_angle_gamma 120.00
loop_
_atom_site_label
_atom_site_type_symbol
_atom_site_fract_x
_atom_site_fract_y
_atom_site_fract_z
Sm1 Sm 0.0000 0.0000 0.0000
Sm2 Sm 0.0000 0.0000 0.1663
H1 H 0.0000 0.0000 0.7653
S1 S 0.0000 0.0000 0.5831
```


## UPa2Zn (GGA-PBE)

Data for an optimized crystal structure of UPa2Zn.

Calculated values
- Excess energy over the best structure of this formula in the dataset: 176 meV/atom
- Formation energy from the elements: 161 meV/atom

Geometry as CIF:
```
data_UPa2Zn
_chemical_formula_sum 'U1 Pa2 Zn1'
_space_group_name_H-M_alt 'P 4/m m m'
_space_group_IT_number 123
_space_group_name_Hall '-P 4 2'
_cell_length_a 3.622
_cell_length_b 3.622
_cell_length_c 6.675
_cell_angle_alpha 90.00
_cell_angle_beta 90.00
_cell_angle_gamma 90.00
loop_
_atom_site_label
_atom_site_type_symbol
_atom_site_fract_x
_atom_site_fract_y
_atom_site_fract_z
U1 U 0.000 0.000 0.000
Pa1 Pa 0.500 0.500 0.243
Zn1 Zn 0.000 0.000 0.500
```


## Ba3HgRu2O9 (GGA-PBE)

Data for an optimized crystal structure of Ba3HgRu2O9.

Calculated values
- Formation energy (no corrections): -1595.0 meV per atom

Geometry as CIF:
```
data_Ba3HgRu2O9
_chemical_formula_sum 'Ba3 Hg1 Ru2 O9'
_space_group_name_H-M_alt 'P -3 m 1'
_space_group_IT_number 164
_space_group_name_Hall '-P 3 2"'
_cell_length_a 5.9090
_cell_length_b 5.9090
_cell_length_c 7.3701
_cell_angle_alpha 90.00
_cell_angle_beta 90.00
_cell_angle_gamma 120.00
loop_
_atom_site_label
_atom_site_type_symbol
_atom_site_fract_x
_atom_site_fract_y
_atom_site_fract_z
Ba1 Ba 0.0000 0.0000 0.0000
Ba2 Ba 0.3333 0.6667 0.6776
Hg1 Hg 0.0000 0.0000 0.5000
Ru1 Ru 0.3333 0.6667 0.1624
O1 O 0.0000 0.5000 0.0000
O2 O 0.1777 0.3554 0.3076
```


## SmHo4TlS8 (GGA-PBE)

Data for an optimized crystal structure of SmHo4TlS8.

Calculated values
- Formation energy (no corrections): -1809.6 meV per atom

Geometry as CIF:
```
data_SmHo4TlS8
_chemical_formula_sum 'Sm3 Ho12 Tl3 S24'
_space_group_name_H-M_alt 'R 3 m'
_space_group_IT_number 160
_space_group_name_Hall 'R 3 -2"'
_cell_length_a 8.1654
_cell_length_b 8.1654
_cell_length_c 20.3863
_cell_angle_alpha 90.00
_cell_angle_beta 90.00
_cell_angle_gamma 120.00
loop_
_atom_site_label
_atom_site_type_symbol
_atom_site_fract_x
_atom_site_fract_y
_atom_site_fract_z
Sm1 Sm 0.0000 0.0000 0.0000
Ho1 Ho 0.0000 0.0000 0.3783
Ho2 Ho 0.0106 0.5053 0.5055
Tl1 Tl 0.0000 0.0000 0.6318
S1 S 0.0000 0.0000 0.2467
S2 S 0.0000 0.0000 0.7721
S3 S 0.0162 0.5081 0.7580
S4 S 0.1866 0.3732 0.5796
```